(1)
VASP calculation (PBE+U) on LaMoNO2 after structural relaxation.

Computed properties:
theoretical density = 6.8 g/cm3
total DFT energy (no corrections) = -7.796 eV/atom

Lattice parameters (Å, degrees): 4.120 4.120 4.011 90.00 90.00 90.00
Each line ends with the local moment (μB).
Atoms (fractional coordinates):
Mo 0.000 0.000 0.000  1.85
O 0.000 0.500 0.000  0.06
O 0.500 0.000 0.000  0.06
La 0.500 0.500 0.500  0.06
N 0.000 0.000 0.500  -0.14



(2)
VASP calculation (PBE+U) on LaMoNO2 after structural relaxation.

Computed properties:
theoretical density = 5.3 g/cm3
total DFT energy (no corrections) = -6.219 eV/atom

Lattice parameters (Å, degrees): 4.420 4.420 4.529 90.00 90.00 90.00
Each line ends with the local moment (μB).
Atoms (fractional coordinates):
N 0.000 0.000 0.500  -0.23
La 0.000 0.000 0.000  0.01
O 0.000 0.500 0.000  -0.05
O 0.500 0.000 0.000  -0.05
Mo 0.500 0.500 0.500  3.71